a | A plane-wave DFT calculation with PBE-GGA was carried out for a relaxed structure of SrFe3Ag.

a b c (Å): 4.7560 4.7560 4.7560
angles (deg): 90.00 90.00 90.00
Closest atoms and distances in Å follow each position.
Fractional positions:
Sr (0.0000, 0.0000, 0.0000)  6 Fe 2.38
Fe (0.0000, 0.0000, 0.5000)  2 Sr 2.38
Fe (0.0000, 0.5000, 0.0000)  2 Sr 2.38
Fe (0.5000, 0.0000, 0.0000)  2 Sr 2.38
Ag (0.5000, 0.5000, 0.5000)  12 Fe 3.36

Output
total magnetic moment	7.433	μB/cell
symmetry	Pm-3m

=====

b | A plane-wave DFT calculation with PBE-GGA was carried out for a relaxed structure of SrFe3Ag.

a b c (Å): 4.8864 4.8864 4.8864
angles (deg): 90.00 90.00 90.00
Closest atoms and distances in Å follow each position.
Fractional positions:
Sr (0.0000, 0.0000, 0.0000)  12 Fe 3.46
Fe (0.0000, 0.5000, 0.5000)  2 Ag 2.44
Fe (0.5000, 0.0000, 0.5000)  2 Ag 2.44
Fe (0.5000, 0.5000, 0.0000)  2 Ag 2.44
Ag (0.5000, 0.5000, 0.5000)  6 Fe 2.44

Output
total magnetic moment	9.029	μB/cell
symmetry	Pm-3m

=====

Energy ordering: b at the bottom, the next structure 1101 meV/atom above.

=====

a | A plane-wave DFT calculation with PBE-GGA was carried out for a relaxed structure of Ta2FeAg.

a b c (Å): 3.9969 3.9969 4.0294
angles (deg): 90.00 90.00 90.00
Closest atoms and distances in Å follow each position.
Fractional positions:
Ta (0.0000, 0.5000, 0.0000)  4 Ta 2.83, 4 Fe 2.84, 4 Ag 2.84
Ta (0.5000, 0.0000, 0.0000)  4 Ta 2.83, 4 Fe 2.84, 4 Ag 2.84
Fe (0.0000, 0.0000, 0.5000)  4 Ag 2.83, 8 Ta 2.84
Ag (0.5000, 0.5000, 0.5000)  4 Fe 2.83, 8 Ta 2.84

Output
total magnetic moment	1.126	μB/cell
symmetry	P4/mmm

=====

b | A plane-wave DFT calculation with PBE-GGA was carried out for a relaxed structure of Ta2FeAg.

a b c (Å): 10.0686 10.0686 10.0686
angles (deg): 157.99 157.99 31.32
Closest atoms and distances in Å follow each position.
Fractional positions:
Ta (0.1162, 0.6250, 0.9912)  4 Ta 2.67-2.77, 2 Fe 2.77, 2 Ag 2.79
Ta (0.3750, 0.3662, 0.4912)  4 Ta 2.67-2.77, 2 Fe 2.77, 2 Ag 2.79
Ta (0.6338, 0.1250, 0.0088)  4 Ta 2.67-2.77, 2 Fe 2.77, 2 Ag 2.79
Ta (0.8750, 0.8838, 0.5088)  4 Ta 2.67-2.77, 2 Fe 2.77, 2 Ag 2.79
Fe (0.0000, 0.0000, 0.0000)  4 Ag 2.72, 4 Ta 2.77
Fe (0.7500, 0.2500, 0.5000)  4 Ag 2.72, 4 Ta 2.77
Ag (0.2500, 0.7500, 0.5000)  4 Fe 2.72, 4 Ta 2.79
Ag (0.5000, 0.5000, 0.0000)  4 Fe 2.72, 4 Ta 2.79

Output
total magnetic moment	4.150	μB/cell
symmetry	I-42d

=====

Energy ordering: a at the bottom, the next structure 538 meV/atom above.

=====

a | A plane-wave DFT calculation with PBE-GGA was carried out for a relaxed structure of Ta2FeAg.

a b c (Å): 9.2009 9.2009 9.2009
angles (deg): 18.24 18.24 18.24
Closest atoms and distances in Å follow each position.
Fractional positions:
Ta (0.2410, 0.2410, 0.2410)  3 Fe 2.63, 6 Ta 2.92
Ta (0.7590, 0.7590, 0.7590)  3 Fe 2.63, 6 Ta 2.92
Fe (0.5000, 0.5000, 0.5000)  6 Ta 2.63, 6 Fe 2.92
Ag (0.0000, 0.0000, 0.0000)  6 Ag 2.92, 6 Ta 3.02

Output
total magnetic moment	1.607	μB/cell
symmetry	R-3m

=====

b | A plane-wave DFT calculation with PBE-GGA was carried out for a relaxed structure of Ta2FeAg.

a b c (Å): 2.8773 3.9113 5.7630
angles (deg): 90.00 97.43 90.00
Closest atoms and distances in Å follow each position.
Fractional positions:
Ta (0.0656, 0.0000, 0.2788)  2 Fe 2.57, 3 Ta 2.62-2.88
Ta (0.9344, 0.0000, 0.7212)  2 Fe 2.57, 3 Ta 2.62-2.88
Fe (0.5000, 0.5000, 0.5000)  4 Ta 2.57, 2 Fe 2.88
Ag (0.5000, 0.5000, 0.0000)  2 Ag 2.88, 2 Fe 2.88, 8 Ta 2.89-2.91

Output
total magnetic moment	0.120	μB/cell
symmetry	P2/m

=====

c | A plane-wave DFT calculation with PBE-GGA was carried out for a relaxed structure of Ta2FeAg.

a b c (Å): 2.9067 3.7519 5.8940
angles (deg): 90.00 90.00 90.00
Closest atoms and distances in Å follow each position.
Fractional positions:
Ta (0.0000, 0.0000, 0.2234)  3 Ta 2.63-2.91, 4 Fe 2.71, 4 Ag 2.88
Ta (0.0000, 0.0000, 0.7766)  3 Ta 2.63-2.91, 4 Fe 2.71, 4 Ag 2.88
Fe (0.5000, 0.5000, 0.0000)  8 Ta 2.71, 2 Fe 2.91, 2 Ag 2.95
Ag (0.5000, 0.5000, 0.5000)  8 Ta 2.88, 2 Ag 2.91, 2 Fe 2.95

Output
total magnetic moment	0.403	μB/cell
symmetry	Pmmm

=====

d | A plane-wave DFT calculation with PBE-GGA was carried out for a relaxed structure of Ta2FeAg.

a b c (Å): 5.3467 5.3467 4.6443
angles (deg): 114.48 114.48 33.03
Closest atoms and distances in Å follow each position.
Fractional positions:
Ta (0.0000, 0.0000, 0.0000)  4 Fe 2.68-2.88, 3 Ta 2.96-2.98
Ta (0.2255, 0.2255, 0.7576)  2 Fe 2.48
Fe (0.5170, 0.5170, 0.4893)  4 Ta 2.48-2.68, 2 Ag 2.69
Ag (0.7789, 0.7789, 0.3121)  2 Fe 2.69, 6 Ta 2.81-3.00

Output
total magnetic moment	0.858	μB/cell
symmetry	Cm

=====

Energy ordering: b at the bottom, the next structure 36 meV/atom above.

=====

a | A plane-wave DFT calculation with PBE-GGA was carried out for a relaxed structure of Ta2FeAg.

a b c (Å): 4.8697 4.8697 4.8697
angles (deg): 131.00 131.00 71.82
Closest atoms and distances in Å follow each position.
Fractional positions:
Ta (0.2500, 0.7500, 0.5000)  4 Fe 2.82, 4 Ag 2.82, 4 Ta 2.86
Ta (0.7500, 0.2500, 0.5000)  4 Fe 2.82, 4 Ag 2.82, 4 Ta 2.86
Fe (0.0000, 0.0000, 0.0000)  8 Ta 2.82, 4 Ag 2.86
Ag (0.5000, 0.5000, 0.0000)  8 Ta 2.82, 4 Fe 2.86

Output
total magnetic moment	1.167	μB/cell
symmetry	I4/mmm

=====

b | A plane-wave DFT calculation with PBE-GGA was carried out for a relaxed structure of Ta2FeAg.

a b c (Å): 4.5206 4.5206 4.5206
angles (deg): 60.00 60.00 60.00
Closest atoms and distances in Å follow each position.
Fractional positions:
Ta (0.2500, 0.2500, 0.2500)  4 Fe 2.77, 4 Ag 2.77
Ta (0.7500, 0.7500, 0.7500)  4 Fe 2.77, 4 Ag 2.77
Fe (0.0000, 0.0000, 0.0000)  8 Ta 2.77
Ag (0.5000, 0.5000, 0.5000)  8 Ta 2.77

Output
total magnetic moment	1.100	μB/cell
symmetry	Fm-3m

=====

c | A plane-wave DFT calculation with PBE-GGA was carried out for a relaxed structure of Ta2FeAg.

a b c (Å): 5.0255 5.0255 5.0255
angles (deg): 133.64 133.64 67.65
Closest atoms and distances in Å follow each position.
Fractional positions:
Ta (0.0000, 0.0000, 0.0000)  4 Fe 2.80, 4 Ta 2.88, 4 Ag 2.88
Ta (0.7500, 0.2500, 0.5000)  4 Ag 2.80, 4 Fe 2.88, 4 Ta 2.88
Fe (0.5000, 0.5000, 0.0000)  8 Ta 2.80-2.88, 4 Ag 2.88
Ag (0.2500, 0.7500, 0.5000)  8 Ta 2.80-2.88, 4 Fe 2.88

Output
total magnetic moment	1.399	μB/cell
symmetry	I-4m2

=====

Energy ordering: a at the bottom, the next structure 66 meV/atom above.

=====

a | A plane-wave DFT calculation with PBE-GGA was carried out for a relaxed structure of Ta2FeAg.

a b c (Å): 2.7597 4.5865 5.1785
angles (deg): 90.00 96.43 90.00
Closest atoms and distances in Å follow each position.
Fractional positions:
Ta (0.0000, 0.0000, 0.0000)  1 Fe 2.59, 2 Ta 2.76, 2 Ag 2.80
Ta (0.2408, 0.5000, 0.6893)  2 Fe 2.64, 4 Ta 2.76-2.92, 3 Ag 2.78-2.84
Fe (0.5763, 0.0000, 0.5281)  3 Ta 2.59-2.64, 2 Fe 2.76, 2 Ag 2.82
Ag (0.6194, 0.5000, 0.2135)  2 Ag 2.76, 7 Ta 2.78-3.00, 2 Fe 2.82

Output
total magnetic moment	1.359	μB/cell
symmetry	Pm

=====

b | A plane-wave DFT calculation with PBE-GGA was carried out for a relaxed structure of Ta2FeAg.

a b c (Å): 4.5031 4.5031 4.5031
angles (deg): 60.00 60.00 60.00
Closest atoms and distances in Å follow each position.
Fractional positions:
Ta (0.0000, 0.0000, 0.0000)  4 Ta 2.76, 4 Fe 2.76
Ta (0.2500, 0.2500, 0.2500)  4 Ta 2.76, 4 Ag 2.76
Fe (0.7500, 0.7500, 0.7500)  4 Ag 2.76, 4 Ta 2.76
Ag (0.5000, 0.5000, 0.5000)  4 Fe 2.76, 4 Ta 2.76

Output
total magnetic moment	0.888	μB/cell
symmetry	F-43m

=====

Energy ordering: a at the bottom, the next structure 186 meV/atom above.